Computed, not measured: crystalline KCu2BiMo at its relaxed geometry at the PBE level of DFT.

Output
- E (eV for the cell shown) = -20.6
- energy relative to the elements (eV/atom) = 0.68
- N(E_F) (states/eV/atom) = 0.57

Lattice parameters (Å, degrees): 4.9995 4.9995 5.2623 90.00 90.00 90.00
Fractional coordinates of all 5 atoms:
K: 0.0000 0.0000 0.0000
Cu: 0.0000 0.5000 0.5000
Cu: 0.5000 0.0000 0.5000
Bi: 0.5000 0.5000 0.0000
Mo: 0.5000 0.5000 0.5000